# 1
A relaxed LiPN2F crystal. Source: the Alexandria database, functional PBE-GGA.

Cell lengths 3.284, 3.284, 4.549 Å; angles 90.00, 90.00, 90.00 degrees
Space group P4/mmm (No. 123)
Symmetry-distinct sites (fractional):
Li 0.000 0.000 0.000 x1
P 0.500 0.500 0.500 x1
N 0.000 0.500 0.500 x2
F 0.500 0.500 0.000 x1

---

# 2
A relaxed LiPN2F crystal. Source: the Alexandria database, functional PBE-GGA.

Cell lengths 5.447, 3.464, 6.752 Å; angles 90.00, 107.20, 90.00 degrees
Space group P2_1/m (No. 11)
Symmetry-distinct sites (fractional):
Li 0.052 0.250 0.346 x2
P 0.469 0.250 0.843 x2
N 0.208 0.250 0.658 x2
N 0.490 0.750 0.893 x2
F 0.260 0.750 0.227 x2

---

# 3
A relaxed LiP2NF crystal. Source: the Alexandria database, functional PBE-GGA.

Cell lengths 3.659, 3.659, 6.319 Å; angles 90.00, 90.00, 90.00 degrees
Space group P4/mmm (No. 123)
Symmetry-distinct sites (fractional):
Li 0.000 0.000 0.000 x1
P 0.000 0.500 0.500 x2
N 0.500 0.500 0.500 x1
F 0.500 0.500 0.000 x1

---

# 4
A relaxed LiPbN2F crystal. Source: the Alexandria database, functional PBE-GGA.

Cell lengths 4.454, 4.454, 4.646 Å; angles 90.00, 90.00, 90.00 degrees
Space group P4/mmm (No. 123)
Symmetry-distinct sites (fractional):
Li 0.000 0.000 0.000 x1
Pb 0.500 0.500 0.500 x1
N 0.000 0.500 0.500 x2
F 0.500 0.500 0.000 x1

---

# 5
A relaxed LiPdNF2 crystal. Source: the Alexandria database, functional PBE-GGA.

Cell lengths 3.424, 3.424, 4.462 Å; angles 90.00, 90.00, 90.00 degrees
Space group P4/mmm (No. 123)
Symmetry-distinct sites (fractional):
Li 0.000 0.000 0.000 x1
Pd 0.500 0.500 0.500 x1
N 0.000 0.000 0.500 x1
F 0.000 0.500 0.000 x2

---

# 6
A relaxed LiPdNF2 crystal. Source: the Alexandria database, functional PBE-GGA.

Cell lengths 4.456, 4.456, 3.690 Å; angles 90.00, 90.00, 90.00 degrees
Space group P4/mmm (No. 123)
Symmetry-distinct sites (fractional):
Li 0.000 0.000 0.000 x1
Pd 0.500 0.500 0.500 x1
N 0.500 0.500 0.000 x1
F 0.000 0.500 0.500 x2

---

| no. | energy (Ry per atom) |
| --- | --- |
| 1 | -0.410 |
| 2 | -0.431 |
| 3 | -0.330 |
| 4 | -0.314 |
| 5 | -0.302 |
| 6 | -0.328 |